The following is a DFT calculation (PBE) of a geometry-optimized MgZnO structure.

The structure in CIF format:
```
data_MgZnO
_chemical_formula_sum 'Mg2 Zn2 O2'
_cell_length_a 2.8208
_cell_length_b 5.3599
_cell_length_c 5.6099
_cell_angle_alpha 90.00
_cell_angle_beta 90.00
_cell_angle_gamma 90.00
_symmetry_space_group_name_H-M 'P m c 21'
_symmetry_Int_Tables_number 26
_symmetry_space_group_name_Hall 'P 2c -2'
loop_
_atom_site_label
_atom_site_fract_x
_atom_site_fract_y
_atom_site_fract_z
Mg1 0.0000 0.0135 0.0000
Zn1 0.5000 0.4799 0.7383
O1 0.5000 0.0653 0.7468
```

Magnetic moment   0.000 μB per formula unit
Energy relative to the lowest polymorph listed for this composition   2.4 meV/atom
E_form (uncorrected)   -1.43 eV per atom
DOS(E_F)   0.88 states/eV per cell

***

The following is a DFT calculation (PBE) of a geometry-optimized SrLi2SiAu4 structure.

The structure in CIF format:
```
data_SrLi2SiAu4
_chemical_formula_sum 'Sr3 Li6 Si3 Au12'
_cell_length_a 4.5258
_cell_length_b 4.5258
_cell_length_c 26.6692
_cell_angle_alpha 90.00
_cell_angle_beta 90.00
_cell_angle_gamma 120.00
_symmetry_space_group_name_H-M 'R -3 m'
_symmetry_Int_Tables_number 166
_symmetry_space_group_name_Hall '-R 3 2"'
loop_
_atom_site_label
_atom_site_fract_x
_atom_site_fract_y
_atom_site_fract_z
Sr1 0.0000 0.0000 0.0000
Li1 0.0000 0.0000 0.2363
Si1 0.0000 0.0000 0.5000
Au1 0.0000 0.0000 0.1338
Au2 0.0000 0.0000 0.4053
```

Magnetic moment   0.000 μB per formula unit
E_form (uncorrected)   -0.46 eV per atom
DOS(E_F)   7.96 states/eV per cell

***

The following is a DFT calculation (PBE) of a geometry-optimized KTa2BeTe structure.

The structure in CIF format:
```
data_KTa2BeTe
_chemical_formula_sum 'K1 Ta2 Be1 Te1'
_cell_length_a 4.5479
_cell_length_b 4.5479
_cell_length_c 5.5056
_cell_angle_alpha 90.00
_cell_angle_beta 90.00
_cell_angle_gamma 90.00
_symmetry_space_group_name_H-M 'P 4/m m m'
_symmetry_Int_Tables_number 123
_symmetry_space_group_name_Hall '-P 4 2'
loop_
_atom_site_label
_atom_site_fract_x
_atom_site_fract_y
_atom_site_fract_z
K1 0.0000 0.0000 0.0000
Ta1 0.0000 0.5000 0.5000
Be1 0.0000 0.0000 0.5000
Te1 0.5000 0.5000 0.0000
```

Magnetic moment   1.217 μB per formula unit
E_form (uncorrected)   1.06 eV per atom
DOS(E_F)   4.41 states/eV per cell

***

- Number 3 is which compound?
  KTa2BeTe